Entry 1:
A plane-wave DFT calculation with PBE was carried out for a relaxed Rb2GaCl2 crystal.

Unit cell a=5.837 b=5.837 c=8.356 alpha=69.56 beta=69.56 gamma=90.00
Each line ends with the local moment (μB).
Element x y z (fractional)
1 Ga 0.000 0.000 0.000  0.26
2 Cl 0.656 0.656 0.688  0.01
3 Cl 0.344 0.344 0.312  0.01
4 Rb 0.250 0.750 0.500  0.01
5 Rb 0.750 0.250 0.500  0.01

Output
magnetic moment: 1.000 Bohr magnetons per cell
raw formation energy: -4.73 eV/f.u.
Fermi-level density of states: 0.000 states/eV/f.u.

=====

Entry 2:
A plane-wave DFT calculation with PBE was carried out for a relaxed RbGaCl crystal.

Unit cell a=9.302 b=6.501 c=11.941 alpha=90.00 beta=90.00 gamma=135.68
Element x y z (fractional)
1 Ga 0.144 0.288 0.006
2 Ga 0.644 0.288 0.494
3 Ga 0.856 0.712 0.994
4 Ga 0.356 0.712 0.506
5 Cl 0.824 0.649 0.781
6 Cl 0.676 0.351 0.281
7 Cl 0.324 0.649 0.719
8 Cl 0.176 0.351 0.219
9 Rb 0.176 0.852 0.250
10 Rb 0.824 0.148 0.750
11 Rb 0.676 0.852 0.250
12 Rb 0.324 0.148 0.750

Output
magnetic moment: 0.000 Bohr magnetons per cell
raw formation energy: -2.34 eV/f.u.
Fermi-level density of states: 1.303 states/eV/f.u.

=====

Entry 3:
A plane-wave DFT calculation with PBE was carried out for a relaxed RbGa2Cl crystal.

Unit cell a=4.634 b=4.634 c=12.350 alpha=79.19 beta=79.19 gamma=90.00
Element x y z (fractional)
1 Rb 0.750 0.250 0.500
2 Rb 0.000 0.000 0.000
3 Cl 0.250 0.750 0.500
4 Cl 0.500 0.500 0.000
5 Ga 0.256 0.625 0.250
6 Ga 0.375 0.506 0.750
7 Ga 0.875 0.744 0.750
8 Ga 0.494 0.125 0.250

Output
magnetic moment: 0.000 Bohr magnetons per cell
raw formation energy: -1.97 eV/f.u.
Fermi-level density of states: 1.428 states/eV/f.u.

=====

Entry 4:
A plane-wave DFT calculation with PBE was carried out for a relaxed RbGa3Cl crystal.

Unit cell a=6.368 b=6.368 c=6.368 alpha=90.00 beta=90.00 gamma=90.00
Element x y z (fractional)
1 Cl 0.500 0.500 0.500
2 Rb 0.000 0.000 0.000
3 Ga 0.000 0.000 0.500
4 Ga 0.500 0.000 0.000
5 Ga 0.000 0.500 0.000

Output
magnetic moment: 0.000 Bohr magnetons per cell
raw formation energy: 4.17 eV/f.u.
Fermi-level density of states: 3.530 states/eV/f.u.